Version 1
Here is a geometry-optimized V7Ga3H2 structure from the Alexandria database. Energies are from GGA-PBE.

Computed properties:
DOS at the Fermi energy (states/eV/cell): 8.22
Space group: P2/m
Magnetic moment (μB/cell): 0.00

```
V7Ga3H2
1.0
-2.315 1.182 -1.887
-2.662 -2.955 1.415
-1.729 7.896 7.066
V Ga H
7 3 2
Direct
0.500 0.916 0.817
0.500 0.084 0.183
0.500 0.708 0.419
0.500 0.292 0.581
0.000 0.000 0.000
0.000 0.391 0.793
0.000 0.609 0.207
0.000 0.818 0.620
0.000 0.182 0.380
0.500 0.500 0.000
0.500 0.508 0.258
0.500 0.492 0.742
```

=====

Version 2
Here is a geometry-optimized V7Ga3H2 structure from the Alexandria database. Energies are from GGA-PBE.

Computed properties:
DOS at the Fermi energy (states/eV/cell): 7.58
Space group: Cmmm
Magnetic moment (μB/cell): 0.00

```
V7Ga3H2
1.0
3.837 0.000 0.000
0.000 3.672 0.000
0.000 -1.836 10.006
V Ga H
7 3 2
Direct
0.000 0.398 0.797
0.000 0.797 0.595
0.000 0.000 0.000
0.000 0.602 0.203
0.500 0.099 0.197
0.500 0.901 0.803
0.000 0.203 0.405
0.500 0.500 0.000
0.500 0.696 0.393
0.500 0.304 0.607
0.000 0.901 0.803
0.000 0.099 0.197
```

=====

Energy above the most stable structure, in eV/atom: version 1 0.029; version 2 0.000

=====

Version 1
Here is a geometry-optimized V2GaH structure from the Alexandria database. Energies are from GGA-PBE.

Computed properties:
DOS at the Fermi energy (states/eV/cell): 3.45
Space group: P4/nmm
Magnetic moment (μB/cell): 0.00

```
V2GaH
1.0
-1.445 -2.119 -2.376
-0.079 -2.585 2.353
-6.556 2.114 2.103
V Ga H
4 2 2
Direct
0.500 0.000 0.130
0.000 0.500 0.870
0.000 0.000 0.500
0.500 0.500 0.500
0.000 0.500 0.241
0.500 0.000 0.759
0.500 0.500 0.000
0.000 0.000 0.000
```

=====

Version 2
Here is a geometry-optimized V2GaH structure from the Alexandria database. Energies are from GGA-PBE.

Computed properties:
DOS at the Fermi energy (states/eV/cell): 6.01
Space group: I4_1/amd
Magnetic moment (μB/cell): 0.00

```
V2GaH
1.0
-0.366 -4.679 1.343
3.811 0.562 2.998
-0.956 -0.933 5.363
H Ga V
2 2 4
Direct
0.500 0.500 0.000
0.250 0.750 0.500
0.000 0.000 0.000
0.750 0.250 0.500
0.375 0.125 0.250
0.375 0.625 0.250
0.375 0.625 0.750
0.875 0.625 0.750
```

=====

Version 3
Here is a geometry-optimized V2GaH structure from the Alexandria database. Energies are from GGA-PBE.

Computed properties:
DOS at the Fermi energy (states/eV/cell): 4.07
Space group: Fm-3m
Magnetic moment (μB/cell): 0.00

```
V2GaH
1.0
0.075 -4.085 -0.207
-1.810 -2.229 2.914
-3.428 -2.069 -0.840
H Ga V
1 1 2
Direct
0.000 0.000 0.000
0.500 0.500 0.500
0.250 0.250 0.250
0.750 0.750 0.750
```

=====

Energy above the most stable structure, in eV/atom: version 1 0.000; version 2 0.330; version 3 0.570

=====

Version 1
Here is a geometry-optimized V2GaH structure from the Alexandria database. Energies are from GGA-PBE.

Computed properties:
DOS at the Fermi energy (states/eV/cell): 4.07
Space group: R3m
Magnetic moment (μB/cell): 0.00

```
V2GaH
1.0
-2.643 1.134 0.707
-2.211 -1.796 0.813
0.135 0.248 6.297
V Ga H
2 1 1
Direct
0.050 0.050 0.851
0.283 0.283 0.150
0.500 0.500 0.499
0.667 0.667 0.999
```

=====

Version 2
Here is a geometry-optimized V2GaH structure from the Alexandria database. Energies are from GGA-PBE.

Computed properties:
DOS at the Fermi energy (states/eV/cell): 2.61
Space group: P4/mmm
Magnetic moment (μB/cell): 0.00

```
V2GaH
1.0
-2.359 0.894 -0.559
-0.883 -0.923 2.246
1.475 5.724 2.932
H Ga V
1 1 2
Direct
0.500 0.500 0.000
0.500 0.500 0.500
0.000 0.000 0.813
0.000 0.000 0.187
```

=====

Version 3
Here is a geometry-optimized V2GaH structure from the Alexandria database. Energies are from GGA-PBE.

Computed properties:
DOS at the Fermi energy (states/eV/cell): 3.75
Space group: R-3m
Magnetic moment (μB/cell): 0.00

```
V2GaH
1.0
-2.046 -0.876 -1.964
-0.464 -2.894 -0.469
-5.038 -1.296 3.583
H Ga V
1 1 2
Direct
0.500 0.500 0.500
0.000 0.000 0.000
0.784 0.784 0.647
0.216 0.216 0.353
```

=====

Energy above the most stable structure, in eV/atom: version 1 0.000; version 2 0.180; version 3 0.051

=====

Version 1
Here is a geometry-optimized VGa3H structure from the Alexandria database. Energies are from GGA-PBE.

Computed properties:
DOS at the Fermi energy (states/eV/cell): 5.04
Space group: Pm-3m
Magnetic moment (μB/cell): 1.14

```
VGa3H
1.0
-0.606 -0.311 -3.965
-1.211 -3.806 0.483
-3.789 1.266 0.480
H Ga V
1 3 1
Direct
0.000 0.000 0.000
0.000 0.500 0.000
0.000 0.000 0.500
0.500 0.000 0.000
0.500 0.500 0.500
```

=====

Version 2
Here is a geometry-optimized VGa3H structure from the Alexandria database. Energies are from GGA-PBE.

Computed properties:
DOS at the Fermi energy (states/eV/cell): 2.94
Space group: Pm-3m
Magnetic moment (μB/cell): 4.51

```
VGa3H
1.0
-0.711 -2.668 -4.128
4.914 -0.494 -0.527
-0.128 -4.160 2.710
H Ga V
1 3 1
Direct
0.500 0.500 0.500
0.000 0.500 0.000
0.000 0.000 0.500
0.500 0.000 0.000
0.000 0.000 0.000
```

=====

Energy above the most stable structure, in eV/atom: version 1 0.000; version 2 0.649

=====

Version 1
Here is a geometry-optimized V5Ga2H2 structure from the Alexandria database. Energies are from GGA-PBE.

Computed properties:
DOS at the Fermi energy (states/eV/cell): 6.01
Space group: C2/m
Magnetic moment (μB/cell): 0.00

```
V5Ga2H2
1.0
-1.565 -0.977 -2.578
-1.997 -2.039 3.935
-4.759 5.118 0.950
V Ga H
5 2 2
Direct
0.298 0.596 0.160
0.702 0.404 0.840
0.155 0.309 0.570
0.845 0.691 0.430
0.000 0.000 0.000
0.429 0.858 0.711
0.571 0.142 0.289
0.189 0.377 0.960
0.811 0.623 0.040
```

=====

Version 2
Here is a geometry-optimized V5Ga2H2 structure from the Alexandria database. Energies are from GGA-PBE.

Computed properties:
DOS at the Fermi energy (states/eV/cell): 5.95
Space group: C2/m
Magnetic moment (μB/cell): 0.00

```
V5Ga2H2
1.0
3.243 0.000 0.000
-1.621 4.559 -0.156
0.000 0.831 6.892
V Ga H
5 2 2
Direct
0.295 0.590 0.140
0.705 0.410 0.860
0.152 0.304 0.560
0.848 0.696 0.440
0.000 0.000 0.000
0.424 0.847 0.722
0.576 0.153 0.278
0.144 0.288 0.816
0.856 0.712 0.184
```

=====

Energy above the most stable structure, in eV/atom: version 1 0.000; version 2 0.019

=====

Version 1
Here is a geometry-optimized Ga2HW structure from the Alexandria database. Energies are from GGA-PBE.

Computed properties:
DOS at the Fermi energy (states/eV/cell): 2.56
Space group: I-42d
Magnetic moment (μB/cell): 0.00

```
Ga2HW
1.0
6.347 0.000 0.000
0.000 6.347 0.000
3.173 3.173 2.513
H Ga W
2 4 2
Direct
0.500 0.500 0.000
0.250 0.750 0.500
0.541 0.125 0.250
0.209 0.625 0.250
0.375 0.459 0.750
0.875 0.791 0.750
0.000 0.000 0.000
0.750 0.250 0.500
```

=====

Version 2
Here is a geometry-optimized Ga2HW structure from the Alexandria database. Energies are from GGA-PBE.

Computed properties:
DOS at the Fermi energy (states/eV/cell): 1.67
Space group: Fm-3m
Magnetic moment (μB/cell): 1.15

```
Ga2HW
1.0
0.000 3.076 3.076
3.076 0.000 3.076
3.076 3.076 0.000
H Ga W
1 2 1
Direct
0.000 0.000 0.000
0.250 0.250 0.250
0.750 0.750 0.750
0.500 0.500 0.500
```

=====

Energy above the most stable structure, in eV/atom: version 1 0.000; version 2 0.602

=====

Version 1
Here is a geometry-optimized GaH2W structure from the Alexandria database. Energies are from GGA-PBE.

Computed properties:
DOS at the Fermi energy (states/eV/cell): 2.23
Space group: R3m
Magnetic moment (μB/cell): 0.00

```
GaH2W
1.0
-0.405 1.729 2.443
-0.329 -1.278 2.717
4.800 0.342 2.421
Ga H W
1 2 1
Direct
0.492 0.492 0.524
0.051 0.051 0.846
0.284 0.284 0.148
0.673 0.673 0.981
```

=====

Version 2
Here is a geometry-optimized GaH2W structure from the Alexandria database. Energies are from GGA-PBE.

Computed properties:
DOS at the Fermi energy (states/eV/cell): 4.18
Space group: Fm-3m
Magnetic moment (μB/cell): 0.00

```
GaH2W
1.0
0.000 2.659 2.659
2.659 0.000 2.659
2.659 2.659 0.000
H Ga W
2 1 1
Direct
0.250 0.250 0.250
0.750 0.750 0.750
0.000 0.000 0.000
0.500 0.500 0.500
```

=====

Energy above the most stable structure, in eV/atom: version 1 0.000; version 2 0.745

=====

Version 1
Here is a geometry-optimized YGaH2 structure from the Alexandria database. Energies are from GGA-PBE.

Computed properties:
DOS at the Fermi energy (states/eV/cell): 0.75
Space group: Fm-3m
Magnetic moment (μB/cell): 0.00

```
YGaH2
1.0
-2.686 -1.877 2.489
-3.759 -0.956 -1.375
-1.012 -3.934 -0.657
Y H Ga
1 2 1
Direct
0.500 0.500 0.500
0.250 0.250 0.250
0.750 0.750 0.750
0.000 0.000 0.000
```

=====

Version 2
Here is a geometry-optimized YGaH2 structure from the Alexandria database. Energies are from GGA-PBE.

Computed properties:
DOS at the Fermi energy (states/eV/cell): 3.06
Space group: I-42d
Magnetic moment (μB/cell): 0.00

```
YGaH2
1.0
-3.821 1.311 -1.977
-2.306 -2.930 2.514
-3.749 3.084 4.177
Y H Ga
2 4 2
Direct
0.000 0.000 0.000
0.750 0.250 0.500
0.624 0.125 0.250
0.126 0.625 0.250
0.375 0.376 0.750
0.875 0.874 0.750
0.500 0.500 0.000
0.250 0.750 0.500
```

=====

Energy above the most stable structure, in eV/atom: version 1 0.007; version 2 0.000